! GGA-PBE ZrSiTe2, optimized geometry; values from VASP
&SYSTEM
  ibrav = 0, nat = 4, ntyp = 3
/
ATOMIC_SPECIES
Zr 91.22 Zr.upf
Si 28.09 Si.upf
Te 127.60 Te.upf
ATOMIC_POSITIONS crystal
Zr 0.000 0.000 0.000
Si 0.500 0.500 0.151
Te 0.000 0.000 0.364
Te 0.500 0.500 0.789
CELL_PARAMETERS angstrom
3.558 0.000 0.000
0.000 3.558 0.000
0.000 0.000 8.178
! **Formation energy from raw total energies**: -363.4 meV/atom
! **Total magnetic moment**: 0.000 μB per cell
! **VASP energy**: -21.7 eV per cell
! **Density of states at the Fermi level**: 1.067 states/eV per atom